! PBE Ac3Nd7Ho2, relaxed; values from VASP
! formation enthalpy at 0 K = 2.595 eV per formula unit
! space group = No. 65
! total moment = 0.00 μB per cell
&SYSTEM
  ibrav = 0, nat = 12, ntyp = 3
/
ATOMIC_SPECIES
Ac 227.00 Ac.upf
Nd 144.24 Nd.upf
Ho 164.93 Ho.upf
CELL_PARAMETERS angstrom
1.897 -20.966 0.000
1.897 20.966 0.000
0.000 0.000 5.859
ATOMIC_POSITIONS crystal
Ac 0.000 0.000 0.000
Ac 0.325 0.675 0.500
Ac 0.675 0.325 0.500
Nd 0.088 0.912 0.500
Nd 0.218 0.782 0.000
Nd 0.429 0.571 0.000
Nd 0.500 0.500 0.500
Nd 0.571 0.429 0.000
Nd 0.782 0.218 0.000
Nd 0.912 0.088 0.500
Ho 0.140 0.860 0.000
Ho 0.860 0.140 0.000


! PBE Ac4NdHo, relaxed; values from VASP
! formation enthalpy at 0 K = 0.261 eV per formula unit
! space group = No. 65
! total moment = 0.00 μB per cell
! offset from the most stable computed form = 0.000 eV per atom
&SYSTEM
  ibrav = 0, nat = 6, ntyp = 3
/
ATOMIC_SPECIES
Ac 227.00 Ac.upf
Nd 144.24 Nd.upf
Ho 164.93 Ho.upf
CELL_PARAMETERS angstrom
2.766 -8.096 0.000
2.766 8.096 0.000
0.000 0.000 5.489
ATOMIC_POSITIONS crystal
Ac 0.160 0.840 0.000
Ac 0.339 0.661 0.500
Ac 0.661 0.339 0.500
Ac 0.840 0.160 0.000
Nd 0.500 0.500 0.000
Ho 0.000 0.000 0.500


! PBE Ac2Nd6Ho, relaxed; values from VASP
! formation enthalpy at 0 K = 0.714 eV per formula unit
! space group = No. 187
! total moment = 0.00 μB per cell
! offset from the most stable computed form = 0.000 eV per atom
&SYSTEM
  ibrav = 0, nat = 9, ntyp = 3
/
ATOMIC_SPECIES
Ac 227.00 Ac.upf
Nd 144.24 Nd.upf
Ho 164.93 Ho.upf
CELL_PARAMETERS angstrom
3.745 0.000 0.000
-1.872 3.243 0.000
0.000 0.000 27.557
ATOMIC_POSITIONS crystal
Ac 0.000 0.000 0.173
Ac 0.000 0.000 0.827
Nd 0.000 0.000 0.396
Nd 0.000 0.000 0.604
Nd 0.667 0.333 0.062
Nd 0.667 0.333 0.289
Nd 0.667 0.333 0.711
Nd 0.667 0.333 0.938
Ho 0.667 0.333 0.500


! PBE Ac3Nd12Ho, relaxed; values from VASP
! formation enthalpy at 0 K = 0.385 eV per formula unit
! space group = No. 123
! total moment = 0.00 μB per cell
&SYSTEM
  ibrav = 0, nat = 16, ntyp = 3
/
ATOMIC_SPECIES
Ac 227.00 Ac.upf
Nd 144.24 Nd.upf
Ho 164.93 Ho.upf
CELL_PARAMETERS angstrom
5.274 0.000 0.000
0.000 5.274 0.000
0.000 0.000 21.045
ATOMIC_POSITIONS crystal
Ac 0.000 0.000 0.000
Ac 0.000 0.000 0.253
Ac 0.000 0.000 0.747
Nd 0.000 0.500 0.126
Nd 0.000 0.500 0.380
Nd 0.000 0.500 0.620
Nd 0.000 0.500 0.874
Nd 0.500 0.000 0.126
Nd 0.500 0.000 0.380
Nd 0.500 0.000 0.620
Nd 0.500 0.000 0.874
Nd 0.500 0.500 0.000
Nd 0.500 0.500 0.254
Nd 0.500 0.500 0.500
Nd 0.500 0.500 0.746
Ho 0.000 0.000 0.500


! PBE Ac6Nd4Ho, relaxed; values from VASP
! formation enthalpy at 0 K = 1.346 eV per formula unit
! space group = No. 38
! total moment = 0.00 μB per cell
&SYSTEM
  ibrav = 0, nat = 11, ntyp = 3
/
ATOMIC_SPECIES
Ac 227.00 Ac.upf
Nd 144.24 Nd.upf
Ho 164.93 Ho.upf
CELL_PARAMETERS angstrom
6.125 0.000 0.000
0.000 9.860 3.710
0.000 -9.860 3.710
ATOMIC_POSITIONS crystal
Ac 0.000 0.000 0.000
Ac 0.000 0.626 0.988
Ac 0.000 0.988 0.626
Ac 0.500 0.271 0.271
Ac 0.500 0.319 0.870
Ac 0.500 0.870 0.319
Nd 0.000 0.186 0.469
Nd 0.000 0.469 0.186
Nd 0.500 0.644 0.813
Nd 0.500 0.813 0.644
Ho 0.000 0.557 0.557


! PBE Ac6Nd2Ho3, relaxed; values from VASP
! formation enthalpy at 0 K = 2.065 eV per formula unit
! space group = No. 12
! total moment = 0.00 μB per cell
&SYSTEM
  ibrav = 0, nat = 11, ntyp = 3
/
ATOMIC_SPECIES
Ac 227.00 Ac.upf
Nd 144.24 Nd.upf
Ho 164.93 Ho.upf
CELL_PARAMETERS angstrom
3.312 -5.719 0.000
3.312 5.719 0.000
-2.117 0.000 11.904
ATOMIC_POSITIONS crystal
Ac 0.087 0.419 0.752
Ac 0.245 0.245 0.252
Ac 0.419 0.087 0.752
Ac 0.581 0.913 0.248
Ac 0.755 0.755 0.748
Ac 0.913 0.581 0.248
Nd 0.331 0.669 0.500
Nd 0.669 0.331 0.500
Ho 0.166 0.834 0.000
Ho 0.500 0.500 0.000
Ho 0.834 0.166 0.000


! PBE Ac12Nd3Ho, relaxed; values from VASP
! formation enthalpy at 0 K = 0.425 eV per formula unit
! space group = No. 123
! total moment = 0.00 μB per cell
&SYSTEM
  ibrav = 0, nat = 16, ntyp = 3
/
ATOMIC_SPECIES
Ac 227.00 Ac.upf
Nd 144.24 Nd.upf
Ho 164.93 Ho.upf
CELL_PARAMETERS angstrom
5.524 0.000 0.000
0.000 5.524 0.000
0.000 0.000 22.051
ATOMIC_POSITIONS crystal
Ac 0.000 0.000 0.000
Ac 0.000 0.000 0.249
Ac 0.000 0.000 0.500
Ac 0.000 0.000 0.751
Ac 0.000 0.500 0.123
Ac 0.000 0.500 0.374
Ac 0.000 0.500 0.626
Ac 0.000 0.500 0.877
Ac 0.500 0.000 0.123
Ac 0.500 0.000 0.374
Ac 0.500 0.000 0.626
Ac 0.500 0.000 0.877
Nd 0.500 0.500 0.249
Nd 0.500 0.500 0.500
Nd 0.500 0.500 0.751
Ho 0.500 0.500 0.000


! PBE AcNd3Ho4, relaxed; values from VASP
! formation enthalpy at 0 K = 0.345 eV per formula unit
! space group = No. 31
! total moment = 0.00 μB per cell
! offset from the most stable computed form = 0.000 eV per atom
&SYSTEM
  ibrav = 0, nat = 16, ntyp = 3
/
ATOMIC_SPECIES
Ac 227.00 Ac.upf
Nd 144.24 Nd.upf
Ho 164.93 Ho.upf
CELL_PARAMETERS angstrom
11.702 0.000 0.000
0.000 7.410 0.000
0.000 0.000 6.356
ATOMIC_POSITIONS crystal
Ac 0.000 0.127 0.000
Ac 0.500 0.873 0.500
Nd 0.000 0.866 0.490
Nd 0.247 0.131 0.651
Nd 0.253 0.869 0.151
Nd 0.500 0.134 0.990
Nd 0.747 0.869 0.151
Nd 0.753 0.131 0.651
Ho 0.000 0.385 0.490
Ho 0.000 0.621 0.987
Ho 0.248 0.618 0.656
Ho 0.252 0.382 0.156
Ho 0.500 0.379 0.487
Ho 0.500 0.615 0.990
Ho 0.748 0.382 0.156
Ho 0.752 0.618 0.656


! PBE AcNd3Ho4, relaxed; values from VASP
! formation enthalpy at 0 K = 1.270 eV per formula unit
! space group = No. 71
! total moment = 0.00 μB per cell
! offset from the most stable computed form = 0.116 eV per atom
&SYSTEM
  ibrav = 0, nat = 8, ntyp = 3
/
ATOMIC_SPECIES
Ac 227.00 Ac.upf
Nd 144.24 Nd.upf
Ho 164.93 Ho.upf
CELL_PARAMETERS angstrom
-1.749 5.905 6.677
1.749 -5.905 6.677
1.749 5.905 -6.677
ATOMIC_POSITIONS crystal
Ac 0.000 0.000 0.000
Nd 0.243 0.743 0.500
Nd 0.500 0.500 0.000
Nd 0.757 0.257 0.500
Ho 0.117 0.863 0.254
Ho 0.390 0.137 0.254
Ho 0.610 0.863 0.746
Ho 0.883 0.137 0.746


! PBE AcNd2Ho7, relaxed; values from VASP
! formation enthalpy at 0 K = 6.733 eV per formula unit
! space group = No. 65
! total moment = 0.00 μB per cell
! offset from the most stable computed form = 0.066 eV per atom
&SYSTEM
  ibrav = 0, nat = 10, ntyp = 3
/
ATOMIC_SPECIES
Ac 227.00 Ac.upf
Nd 144.24 Nd.upf
Ho 164.93 Ho.upf
CELL_PARAMETERS angstrom
4.349 -8.171 0.000
4.349 8.171 0.000
0.000 0.000 5.625
ATOMIC_POSITIONS crystal
Ac 0.000 0.000 0.000
Nd 0.298 0.702 0.500
Nd 0.702 0.298 0.500
Ho 0.061 0.294 0.500
Ho 0.222 0.778 0.000
Ho 0.294 0.061 0.500
Ho 0.500 0.500 0.500
Ho 0.706 0.939 0.500
Ho 0.778 0.222 0.000
Ho 0.939 0.706 0.500


! PBE AcNd6Ho12, relaxed; values from VASP
! formation enthalpy at 0 K = 3.939 eV per formula unit
! space group = No. 166
! total moment = 0.00 μB per cell
&SYSTEM
  ibrav = 0, nat = 19, ntyp = 3
/
ATOMIC_SPECIES
Ac 227.00 Ac.upf
Nd 144.24 Nd.upf
Ho 164.93 Ho.upf
CELL_PARAMETERS angstrom
6.685 3.859 4.208
-6.685 3.859 4.208
0.000 -7.719 4.208
ATOMIC_POSITIONS crystal
Ac 0.000 0.000 0.000
Nd 0.103 0.103 0.651
Nd 0.103 0.651 0.103
Nd 0.349 0.897 0.897
Nd 0.651 0.103 0.103
Nd 0.897 0.349 0.897
Nd 0.897 0.897 0.349
Ho 0.080 0.356 0.356
Ho 0.242 0.500 0.758
Ho 0.242 0.758 0.500
Ho 0.356 0.080 0.356
Ho 0.356 0.356 0.080
Ho 0.500 0.242 0.758
Ho 0.500 0.758 0.242
Ho 0.644 0.644 0.920
Ho 0.644 0.920 0.644
Ho 0.758 0.242 0.500
Ho 0.758 0.500 0.242
Ho 0.920 0.644 0.644


! PBE AcNd2Ho8, relaxed; values from VASP
! formation enthalpy at 0 K = 1.483 eV per formula unit
! space group = No. 71
! total moment = 0.00 μB per cell
! offset from the most stable computed form = 0.000 eV per atom
&SYSTEM
  ibrav = 0, nat = 11, ntyp = 3
/
ATOMIC_SPECIES
Ac 227.00 Ac.upf
Nd 144.24 Nd.upf
Ho 164.93 Ho.upf
CELL_PARAMETERS angstrom
-2.764 4.119 8.121
2.764 -4.119 8.121
2.764 4.119 -8.121
ATOMIC_POSITIONS crystal
Ac 0.000 0.000 0.000
Nd 0.301 0.301 0.000
Nd 0.699 0.699 0.000
Ho 0.151 0.856 0.295
Ho 0.161 0.661 0.500
Ho 0.296 0.500 0.796
Ho 0.439 0.144 0.295
Ho 0.561 0.856 0.705
Ho 0.704 0.500 0.204
Ho 0.839 0.339 0.500
Ho 0.849 0.144 0.705